Record 1
! Ta3Mn4Nb, relaxed, DFT PBE; values from VASP
! magnetic moment	0.0	μB per cell
! calculated density	12.3	Mg/m³
! formation enthalpy at 0 K	-214	meV per atom
&SYSTEM
  ibrav = 0, nat = 8, ntyp = 3
/
ATOMIC_SPECIES
Nb 92.91 Nb.upf
Mn 54.94 Mn.upf
Ta 180.95 Ta.upf
ATOMIC_POSITIONS crystal
Nb 0.500 0.500 0.000
Mn 0.000 0.000 0.500
Mn 0.000 0.500 0.749
Mn 0.000 0.000 0.000
Mn 0.000 0.500 0.251
Ta 0.500 0.000 0.250
Ta 0.500 0.500 0.500
Ta 0.500 0.000 0.750
CELL_PARAMETERS angstrom
-0.504 -2.928 0.739
2.956 -1.245 -2.915
6.177 0.468 6.064

=====

Record 2
! Ta2MnNb, relaxed, DFT PBE; values from VASP
! magnetic moment	0.0	μB per cell
! calculated density	12.1	Mg/m³
! formation enthalpy at 0 K	540	meV per atom
&SYSTEM
  ibrav = 0, nat = 8, ntyp = 3
/
ATOMIC_SPECIES
Nb 92.91 Nb.upf
Mn 54.94 Mn.upf
Ta 180.95 Ta.upf
ATOMIC_POSITIONS crystal
Nb 0.000 0.000 0.000
Nb 0.750 0.250 0.500
Mn 0.500 0.500 0.000
Mn 0.250 0.750 0.500
Ta 0.587 0.125 0.250
Ta 0.163 0.625 0.250
Ta 0.375 0.413 0.750
Ta 0.875 0.837 0.750
CELL_PARAMETERS angstrom
-3.026 3.742 5.321
-3.549 -5.868 2.109
-1.220 -1.724 5.356

=====

Record 3
! Ta4MnNb3, relaxed, DFT PBE; values from VASP
! magnetic moment	0.0	μB per cell
! calculated density	12.7	Mg/m³
! formation enthalpy at 0 K	-36	meV per atom
&SYSTEM
  ibrav = 0, nat = 8, ntyp = 3
/
ATOMIC_SPECIES
Nb 92.91 Nb.upf
Mn 54.94 Mn.upf
Ta 180.95 Ta.upf
ATOMIC_POSITIONS crystal
Nb 0.500 0.500 0.243
Nb 0.500 0.500 0.500
Nb 0.500 0.500 0.757
Mn 0.500 0.500 0.000
Ta 0.000 0.000 0.887
Ta 0.000 0.000 0.113
Ta 0.000 0.000 0.370
Ta 0.000 0.000 0.630
CELL_PARAMETERS angstrom
3.231 0.000 0.000
0.000 3.231 0.000
0.000 0.000 13.263

=====

Q: Among the records above, which one has the lowest formation enthalpy at 0 K?
A: Ta3Mn4Nb